Entry 1:
A relaxed BaBeTe crystal, computed with PBE-GGA.

The calculation puts the total energy at -3.1050 eV per atom. The distance to the lowest polymorph of the same formula comes out at 0.262 eV per atom. The calculation puts the density of states at the Fermi level at 0.27 states/eV/atom. The value obtained for the uncorrected formation energy is -175 meV/atom.

The space group is I4mm (No. 107) and the conventional cell measures 3.8370, 3.8370 and 11.6587 Å, with angles of 90.00, 90.00 and 90.00 degrees. The distinct sites, in fractional coordinates, are Ba at (0.0000, 0.0000, 0.0000), Be at (0.0000, 0.0000, 0.7009) and Te at (0.0000, 0.0000, 0.2876).

---

Entry 2:
A relaxed Ba2BeTe crystal, computed with PBE-GGA.

The calculation puts the total energy at -3.2187 eV per atom. The distance to the lowest polymorph of the same formula comes out at 0.092 eV per atom. The calculation puts the density of states at the Fermi level at 0.59 states/eV/atom. The value obtained for the uncorrected formation energy is -540 meV/atom.

The space group is Pm (No. 6) and the conventional cell measures 7.1623, 4.5112 and 9.4186 Å, with angles of 90.00, 97.74 and 90.00 degrees. The distinct sites, in fractional coordinates, are Ba at (0.0000, 0.0000, 0.0000), Ba at (0.1749, 0.5000, 0.3977), Ba at (0.4823, 0.5000, 0.9348), Ba at (0.7300, 0.0000, 0.5793), Be at (0.7712, 0.2579, 0.2678), Te at (0.2536, 0.0000, 0.6840) and Te at (0.4499, 0.0000, 0.2177).

---

Entry 3:
A relaxed BaBe4Te crystal, computed with PBE-GGA.

The calculation puts the total energy at -2.6167 eV per atom. The calculation puts the density of states at the Fermi level at 0.36 states/eV/atom. The value obtained for the uncorrected formation energy is 712 meV/atom.

The space group is F-43m (No. 216) and the conventional cell measures 7.7591, 7.7591 and 7.7591 Å, with angles of 90.00, 90.00 and 90.00 degrees. The distinct sites, in fractional coordinates, are Ba at (0.0000, 0.0000, 0.0000), Be at (0.1462, 0.1462, 0.6462) and Te at (0.2500, 0.2500, 0.2500).

---

Entry 4:
A relaxed BaBeTe3 crystal, computed with PBE-GGA.

The calculation puts the total energy at -2.1756 eV per atom. The distance to the lowest polymorph of the same formula comes out at 1.341 eV per atom. The calculation puts the density of states at the Fermi level at 0.96 states/eV/atom. The value obtained for the uncorrected formation energy is 839 meV/atom.

The space group is Pm-3m (No. 221) and the conventional cell measures 6.7255, 6.7255 and 6.7255 Å, with angles of 90.00, 90.00 and 90.00 degrees. The distinct sites, in fractional coordinates, are Ba at (0.0000, 0.0000, 0.0000), Be at (0.5000, 0.5000, 0.5000) and Te at (0.0000, 0.0000, 0.5000).

---

Entry 5:
A relaxed Ba2BeTe crystal, computed with PBE-GGA.

The calculation puts the total energy at -3.2861 eV per atom. The distance to the lowest polymorph of the same formula comes out at 0.025 eV per atom. The calculation puts the density of states at the Fermi level at 0.42 states/eV/atom. The value obtained for the uncorrected formation energy is -608 meV/atom.

The space group is P-1 (No. 2) and the conventional cell measures 4.4681, 9.0010 and 9.6224 Å, with angles of 67.88, 76.77 and 89.73 degrees. The distinct sites, in fractional coordinates, are Ba at (0.1285, 0.3679, 0.2497), Ba at (0.3632, 0.1866, 0.7760), Be at (0.2483, 0.5006, 0.5000) and Te at (0.2674, 0.7646, 0.9586).

---

Entry 6:
A relaxed BaBeTe2 crystal, computed with PBE-GGA.

The calculation puts the total energy at -3.4587 eV per atom. The calculation puts the density of states at the Fermi level at 0.27 states/eV/atom. The value obtained for the uncorrected formation energy is -476 meV/atom.

The space group is P4mm (No. 99) and the conventional cell measures 4.2430, 4.2430 and 7.7345 Å, with angles of 90.00, 90.00 and 90.00 degrees. The distinct sites, in fractional coordinates, are Ba at (0.0000, 0.0000, 0.0000), Be at (0.5000, 0.5000, 0.5103), Te at (0.0000, 0.0000, 0.4427) and Te at (0.5000, 0.5000, 0.8152).

---

Entry 7:
A relaxed BaBeTe3 crystal, computed with PBE-GGA.

The calculation puts the total energy at -3.5168 eV per atom. The distance to the lowest polymorph of the same formula comes out at 0.000 eV per atom. The calculation puts the density of states at the Fermi level at 0.87 states/eV/atom. The value obtained for the uncorrected formation energy is -502 meV/atom.

The space group is Pm-3m (No. 221) and the conventional cell measures 5.2818, 5.2818 and 5.2818 Å, with angles of 90.00, 90.00 and 90.00 degrees. The distinct sites, in fractional coordinates, are Ba at (0.0000, 0.0000, 0.0000), Be at (0.5000, 0.5000, 0.5000) and Te at (0.0000, 0.5000, 0.5000).

---

Entry 8:
A relaxed BaBeTe2 crystal, computed with PBE-GGA.

The calculation puts the total energy at -3.1501 eV per atom. The calculation puts the density of states at the Fermi level at 0.76 states/eV/atom. The value obtained for the uncorrected formation energy is -167 meV/atom.

The space group is P4/mmm (No. 123) and the conventional cell measures 5.3462, 5.3462 and 4.2459 Å, with angles of 90.00, 90.00 and 90.00 degrees. The distinct sites, in fractional coordinates, are Ba at (0.0000, 0.0000, 0.0000), Be at (0.5000, 0.5000, 0.0000) and Te at (0.0000, 0.5000, 0.5000).

---

Entry 9:
A relaxed Ba2BeTe crystal, computed with PBE-GGA.

The calculation puts the total energy at -3.2639 eV per atom. The distance to the lowest polymorph of the same formula comes out at 0.047 eV per atom. The calculation puts the density of states at the Fermi level at 0.67 states/eV/atom. The value obtained for the uncorrected formation energy is -586 meV/atom.

The space group is Amm2 (No. 38) and the conventional cell measures 8.6514, 16.6068 and 4.2796 Å, with angles of 90.00, 90.00 and 90.00 degrees. The distinct sites, in fractional coordinates, are Ba at (0.2425, 0.1209, 0.0000), Be at (0.0000, 0.2361, 0.4872), Te at (0.0000, 0.0000, 0.4997) and Te at (0.5000, 0.0000, 0.4980).

---

Entry 10:
A relaxed Ba2BeTe crystal, computed with PBE-GGA.

The calculation puts the total energy at -3.1067 eV per atom. The distance to the lowest polymorph of the same formula comes out at 0.204 eV per atom. The calculation puts the density of states at the Fermi level at 0.97 states/eV/atom. The value obtained for the uncorrected formation energy is -428 meV/atom.

The space group is Cm (No. 8) and the conventional cell measures 12.5371, 4.4710 and 5.3219 Å, with angles of 90.00, 99.64 and 90.00 degrees. The distinct sites, in fractional coordinates, are Ba at (0.0000, 0.0000, 0.0000), Ba at (0.2270, 0.5000, 0.5724), Be at (0.2707, 0.0000, 0.1110) and Te at (0.4369, 0.0000, 0.4580).

---

Entry 11:
A relaxed BaBeTe2 crystal, computed with PBE-GGA.

The calculation puts the total energy at -3.3338 eV per atom. The calculation puts the density of states at the Fermi level at 0.20 states/eV/atom. The value obtained for the uncorrected formation energy is -351 meV/atom.

The space group is Cmmm (No. 65) and the conventional cell measures 4.0762, 9.4784 and 8.6655 Å, with angles of 90.00, 90.00 and 90.00 degrees. The distinct sites, in fractional coordinates, are Ba at (0.0000, 0.0000, 0.0000), Be at (0.0000, 0.0000, 0.5000) and Te at (0.0000, 0.5000, 0.3045).

---

Entry 12:
A relaxed BaBeTe crystal, computed with PBE-GGA.

The calculation puts the total energy at -3.3669 eV per atom. The distance to the lowest polymorph of the same formula comes out at 0.000 eV per atom. The calculation puts the density of states at the Fermi level at 0.14 states/eV/atom. The value obtained for the uncorrected formation energy is -437 meV/atom.

The space group is P3m1 (No. 156) and the conventional cell measures 4.2265, 4.2265 and 5.5796 Å, with angles of 90.00, 90.00 and 120.00 degrees. The distinct sites, in fractional coordinates, are Ba at (0.0000, 0.0000, 0.0000), Be at (0.6667, 0.3333, 0.3667) and Te at (0.3333, 0.6667, 0.5093).

---

Entry 13:
A relaxed Ba2BeTe crystal, computed with PBE-GGA.

The calculation puts the total energy at -3.1023 eV per atom. The distance to the lowest polymorph of the same formula comes out at 0.208 eV per atom. The calculation puts the density of states at the Fermi level at 0.65 states/eV/atom. The value obtained for the uncorrected formation energy is -424 meV/atom.

The space group is Pmmm (No. 47) and the conventional cell measures 4.2344, 4.2539 and 7.9822 Å, with angles of 90.00, 90.00 and 90.00 degrees. The distinct sites, in fractional coordinates, are Ba at (0.0000, 0.0000, 0.2435), Be at (0.5000, 0.5000, 0.0000) and Te at (0.5000, 0.5000, 0.5000).

---

Entry 14:
A relaxed Ba2BeTe crystal, computed with PBE-GGA.

The calculation puts the total energy at -2.9090 eV per atom. The distance to the lowest polymorph of the same formula comes out at 0.402 eV per atom. The calculation puts the density of states at the Fermi level at 0.72 states/eV/atom. The value obtained for the uncorrected formation energy is -231 meV/atom.

The space group is I-42d (No. 122) and the conventional cell measures 8.8324, 8.8324 and 8.6886 Å, with angles of 90.00, 90.00 and 90.00 degrees. The distinct sites, in fractional coordinates, are Ba at (0.2339, 0.2500, 0.1250), Be at (0.0000, 0.0000, 0.0000) and Te at (0.0000, 0.0000, 0.5000).

---

Entry 15:
A relaxed Ba2BeTe crystal, computed with PBE-GGA.

The calculation puts the total energy at -3.2869 eV per atom. The distance to the lowest polymorph of the same formula comes out at 0.024 eV per atom. The calculation puts the density of states at the Fermi level at 0.35 states/eV/atom. The value obtained for the uncorrected formation energy is -609 meV/atom.

The space group is Cm (No. 8) and the conventional cell measures 18.0154, 4.4094 and 9.8275 Å, with angles of 90.00, 122.22 and 90.00 degrees. The distinct sites, in fractional coordinates, are Ba at (0.0000, 0.0000, 0.0000), Ba at (0.1055, 0.0000, 0.5280), Ba at (0.2635, 0.5000, 0.9966), Ba at (0.3845, 0.0000, 0.5330), Be at (0.0709, 0.2500, 0.7927), Te at (0.2837, 0.5000, 0.6587) and Te at (0.4431, 0.0000, 0.2245).

---

Entry 16:
A relaxed BaBeTe2 crystal, computed with PBE-GGA.

The calculation puts the total energy at -2.9487 eV per atom. The calculation puts the density of states at the Fermi level at 0.71 states/eV/atom. The value obtained for the uncorrected formation energy is 34 meV/atom.

The space group is F-43m (No. 216) and the conventional cell measures 7.8775, 7.8775 and 7.8775 Å, with angles of 90.00, 90.00 and 90.00 degrees. The distinct sites, in fractional coordinates, are Ba at (0.0000, 0.0000, 0.0000), Be at (0.2500, 0.2500, 0.2500), Te at (0.0000, 0.0000, 0.5000) and Te at (0.2500, 0.2500, 0.7500).

---

Entry 17:
A relaxed Ba2BeTe crystal, computed with PBE-GGA.

The calculation puts the total energy at -3.2352 eV per atom. The distance to the lowest polymorph of the same formula comes out at 0.076 eV per atom. The calculation puts the density of states at the Fermi level at 0.76 states/eV/atom. The value obtained for the uncorrected formation energy is -557 meV/atom.

The space group is Cm (No. 8) and the conventional cell measures 12.6247, 4.4139 and 10.9171 Å, with angles of 90.00, 95.46 and 90.00 degrees. The distinct sites, in fractional coordinates, are Ba at (0.0000, 0.0000, 0.0000), Ba at (0.0166, 0.0000, 0.4996), Ba at (0.2329, 0.5000, 0.7740), Ba at (0.2668, 0.0000, 0.2529), Be at (0.2579, 0.5000, 0.4949), Be at (0.2859, 0.0000, 0.5437), Te at (0.0466, 0.5000, 0.2471) and Te at (0.4455, 0.0000, 0.7400).

---

Entry 18:
A relaxed BaBeTe crystal, computed with PBE-GGA.

The calculation puts the total energy at -3.1050 eV per atom. The distance to the lowest polymorph of the same formula comes out at 0.262 eV per atom. The calculation puts the density of states at the Fermi level at 0.23 states/eV/atom. The value obtained for the uncorrected formation energy is -175 meV/atom.

The space group is Fmm2 (No. 42) and the conventional cell measures 5.0397, 5.8770 and 11.7464 Å, with angles of 90.00, 90.00 and 90.00 degrees. The distinct sites, in fractional coordinates, are Ba at (0.0000, 0.0000, 0.0000), Be at (0.0000, 0.0000, 0.3016) and Te at (0.0000, 0.0000, 0.7120).

---

Entry 19:
A relaxed BaBeTe2 crystal, computed with PBE-GGA.

The calculation puts the total energy at -3.9317 eV per atom. The calculation puts the density of states at the Fermi level at 0.00 states/eV/atom. The value obtained for the uncorrected formation energy is -949 meV/atom.

The space group is I-42d (No. 122) and the conventional cell measures 7.7392, 7.7392 and 8.4837 Å, with angles of 90.00, 90.00 and 90.00 degrees. The distinct sites, in fractional coordinates, are Ba at (0.0000, 0.0000, 0.0000), Be at (0.0000, 0.0000, 0.5000) and Te at (0.1475, 0.2500, 0.6250).

---

Entry 20:
A relaxed BaBeTe2 crystal, computed with PBE-GGA.

The calculation puts the total energy at -3.3997 eV per atom. The calculation puts the density of states at the Fermi level at 0.24 states/eV/atom. The value obtained for the uncorrected formation energy is -417 meV/atom.

The space group is Imm2 (No. 44) and the conventional cell measures 3.8630, 4.4395 and 14.8265 Å, with angles of 90.00, 90.00 and 90.00 degrees. The distinct sites, in fractional coordinates, are Ba at (0.0000, 0.0000, 0.0000), Be at (0.0000, 0.5000, 0.7601), Te at (0.0000, 0.0000, 0.3708) and Te at (0.0000, 0.5000, 0.1733).